No. 1
Compound: SbIr
Source: Alexandria via LeMat-Bulk
Functional: GGA-PBE
Structure: optimized geometry

Output
D(E_F) = 4.63 states/eV per cell
Space-group type = Amm2, No. 38
Formation energy from raw total energies = 0.012 eV per atom
Size of the total moment = 0.0 μB/cell
Uncorrected energy = -6.479 eV per atom

Cell and atoms, written as POSCAR:
```
SbIr
1.0
-2.1858 -3.1971 0.9044
7.3497 -5.1250 -0.3542
1.0980 1.1181 6.6064
Sb Ir
6 6
direct
0.5000 0.8251 0.7420
0.5000 0.1749 0.7420
0.5000 0.3251 0.2420
0.5000 0.6749 0.2420
0.0000 0.0000 0.1580
0.0000 0.5000 0.6580
0.0000 0.2636 0.9716
0.0000 0.7364 0.9716
0.0000 0.7636 0.4716
0.0000 0.2364 0.4716
0.5000 0.0000 0.4168
0.5000 0.5000 0.9168
```



No. 2
Compound: Co2Ru
Source: Alexandria via LeMat-Bulk
Functional: GGA-PBE
Structure: optimized geometry

Output
D(E_F) = 13.47 states/eV per cell
Space-group type = P-62m, No. 189
Energy of formation from the pure elements = 577 meV/atom
Excess energy over the best structure of this formula in the dataset = 0.4542 eV per atom
Size of the total moment = 9.0 μB/cell
Uncorrected energy = -7.252 eV per atom

Cell and atoms, written as POSCAR:
```
Co2Ru
1.0
2.9460 -5.1026 0.0000
2.9460 5.1026 0.0000
0.0000 0.0000 3.8977
Co Ru
6 3
direct
0.0000 0.2416 0.0000
0.0000 0.5646 0.5000
0.2416 0.0000 0.0000
0.7584 0.7584 0.0000
0.5646 0.0000 0.5000
0.4354 0.4354 0.5000
0.0000 0.0000 0.5000
0.3333 0.6667 0.0000
0.6667 0.3333 0.0000
```



No. 3
Compound: AsOs2Pb
Source: Alexandria via LeMat-Bulk
Functional: GGA-PBE
Structure: optimized geometry

Output
D(E_F) = 2.95 states/eV per cell
Space-group type = P4mm, No. 99
Energy of formation from the pure elements = 400 meV/atom
Excess energy over the best structure of this formula in the dataset = 0.0000 eV per atom
Size of the total moment = 0.0 μB/cell
Uncorrected energy = -7.304 eV per atom

Cell and atoms, written as POSCAR:
```
AsOs2Pb
1.0
2.9540 0.0000 0.0000
0.0000 2.9540 0.0000
0.0000 0.0000 9.1350
Pb As Os
1 1 2
direct
0.0000 0.0000 0.4447
0.5000 0.5000 0.8372
0.0000 0.0000 0.0161
0.5000 0.5000 0.2021
```